A relaxed structure of NaHI2. Source: the Alexandria database, functional PBE.

Computed properties:
density = 3.38 g cm⁻³
total energy = -40.82 eV/cell

Unit cell a=4.7394 b=6.9755 c=16.5321 alpha=90.00 beta=90.00 gamma=90.00
Closest atoms and distances in Å follow each position.
Fractional coordinates of all 16 atoms:
I (0.2500, 0.7125, 0.4403)  1 H 1.95
H (0.2500, 0.5562, 0.8743)  2 I 1.89-1.95
H (0.2500, 0.9438, 0.3743)  2 I 1.89-1.95
I (0.2500, 0.3404, 0.8047)  1 H 1.89
Na (0.7500, 0.4417, 0.3703)  6 I 3.24-3.31
H (0.7500, 0.0562, 0.6257)  2 I 1.89-1.95
Na (0.2500, 0.9417, 0.1297)  6 I 3.24-3.31
I (0.2500, 0.1596, 0.3047)  1 H 1.89
I (0.7500, 0.2125, 0.0597)  1 H 1.95
I (0.7500, 0.6596, 0.1953)  1 H 1.89
Na (0.2500, 0.5583, 0.6297)  6 I 3.24-3.31
I (0.2500, 0.7875, 0.9403)  1 H 1.95
H (0.7500, 0.4438, 0.1257)  2 I 1.89-1.95
I (0.7500, 0.2875, 0.5597)  1 H 1.95
Na (0.7500, 0.0583, 0.8703)  6 I 3.24-3.31
I (0.7500, 0.8404, 0.6953)  1 H 1.89

=====

A relaxed structure of PIr3Pd. Source: the Alexandria database, functional PBE.

Computed properties:
energy of formation from the pure elements = 2372 meV per atom
density = 11.12 g cm⁻³

Unit cell a=4.7422 b=4.7422 c=4.7422 alpha=90.00 beta=90.00 gamma=90.00
Closest atoms and distances in Å follow each position.
Fractional coordinates of all 5 atoms:
Ir (0.0000, 0.5000, 0.0000)  2 Pd 2.37
Ir (0.0000, 0.0000, 0.5000)  2 Pd 2.37
P (0.5000, 0.5000, 0.5000)  12 Ir 3.35
Pd (0.0000, 0.0000, 0.0000)  6 Ir 2.37
Ir (0.5000, 0.0000, 0.0000)  2 Pd 2.37

=====

A relaxed structure of EuTmNiPd. Source: the Alexandria database, functional PBE.

Computed properties:
energy of formation from the pure elements = -462 meV per atom
density = 9.60 g cm⁻³

Unit cell a=4.9171 b=4.9171 c=4.9171 alpha=60.00 beta=60.00 gamma=60.00
Closest atoms and distances in Å follow each position.
Fractional coordinates of all 4 atoms:
Eu (0.0000, 0.0000, 0.0000)  4 Ni 3.01, 4 Pd 3.01
Tm (0.5000, 0.5000, 0.5000)  4 Pd 3.01, 4 Ni 3.01
Ni (0.2500, 0.2500, 0.2500)  4 Tm 3.01, 4 Eu 3.01
Pd (0.7500, 0.7500, 0.7500)  4 Tm 3.01, 4 Eu 3.01

=====

A relaxed structure of TmThFeCu. Source: the Alexandria database, functional PBE.

Computed properties:
energy of formation from the pure elements = -46 meV per atom
density = 10.50 g cm⁻³

Unit cell a=4.8818 b=4.8818 c=4.8818 alpha=60.00 beta=60.00 gamma=60.00
Closest atoms and distances in Å follow each position.
Fractional coordinates of all 4 atoms:
Tm (0.5000, 0.5000, 0.5000)  4 Fe 2.99, 4 Cu 2.99
Fe (0.7500, 0.7500, 0.7500)  4 Tm 2.99, 4 Th 2.99
Th (0.0000, 0.0000, 0.0000)  4 Cu 2.99, 4 Fe 2.99
Cu (0.2500, 0.2500, 0.2500)  4 Th 2.99, 4 Tm 2.99

=====

A relaxed structure of Ti6N2O. Source: the Alexandria database, functional PBE.

Computed properties:
density = 4.92 g cm⁻³
total energy = -82.06 eV/cell

Unit cell a=4.7822 b=5.1978 c=5.1978 alpha=120.00 beta=90.00 gamma=90.00
Closest atoms and distances in Å follow each position.
Fractional coordinates of all 9 atoms:
Ti (0.2485, 0.6624, 0.0000)  2 N 2.10, 1 O 2.13
Ti (0.7515, 0.6624, 0.6624)  2 N 2.10, 1 O 2.13
O (0.5000, 0.0000, 0.0000)  6 Ti 2.13
Ti (0.7515, 0.3376, 0.0000)  2 N 2.10, 1 O 2.13
Ti (0.2485, 0.0000, 0.6624)  2 N 2.10, 1 O 2.13
N (0.5000, 0.3333, 0.6667)  6 Ti 2.10
Ti (0.2485, 0.3376, 0.3376)  2 N 2.10, 1 O 2.13
N (0.5000, 0.6667, 0.3333)  6 Ti 2.10
Ti (0.7515, 0.0000, 0.3376)  2 N 2.10, 1 O 2.13

=====

A relaxed structure of YCuSe2. Source: the Alexandria database, functional PBE.

Computed properties:
density = 4.75 g cm⁻³
total energy = -22.02 eV/cell

Unit cell a=4.2708 b=4.2708 c=6.9646 alpha=92.39 beta=92.39 gamma=58.71
Closest atoms and distances in Å follow each position.
Fractional coordinates of all 4 atoms:
Y (0.7500, 0.7500, 0.7500)  6 Se 2.86-2.89
Se (0.4146, 0.4146, 0.5323)  1 Cu 2.27
Cu (0.2500, 0.2500, 0.2500)  2 Se 2.27
Se (0.0854, 0.0854, 0.9677)  1 Cu 2.27